The following is a DFT calculation (PBE) of AgW3Se after structural relaxation.

```
AgW3Se
1.0
4.824 0.000 0.000
0.000 4.824 0.000
0.000 0.000 4.824
Ag W Se
1 3 1
direct
0.000 0.000 0.000
0.000 0.000 0.500
0.000 0.500 0.000
0.500 0.000 0.000
0.500 0.500 0.500
```

Calculated values
The value obtained for the energy above the most stable polymorph in this dataset is 1250.7 meV per atom. The uncorrected formation energy comes out at 14.76 eV per formula unit. The calculation puts the magnetization at 0.0000 μB per atom.

The following is a DFT calculation (PBE) of AgWSe2 after structural relaxation.

```
AgWSe2
1.0
2.966 0.000 0.000
0.000 2.966 0.000
0.000 0.000 9.568
Ag W Se
1 1 2
direct
0.000 0.000 0.000
0.500 0.500 0.781
0.000 0.000 0.619
0.500 0.500 0.226
```

Calculated values
The value obtained for the energy above the most stable polymorph in this dataset is 313.8 meV per atom. The uncorrected formation energy comes out at 1.04 eV per formula unit. The calculation puts the magnetization at 0.0000 μB per atom.

The following is a DFT calculation (PBE) of Ag2WSe after structural relaxation.

```
Ag2WSe
1.0
-1.887 1.887 5.025
1.887 -1.887 5.025
1.887 1.887 -5.025
Ag W Se
2 1 1
direct
0.250 0.750 0.500
0.750 0.250 0.500
0.000 0.000 0.000
0.500 0.500 0.000
```

Calculated values
The uncorrected formation energy comes out at 3.33 eV per formula unit. The calculation puts the magnetization at 0.0742 μB per atom.

The following is a DFT calculation (PBE) of AgW2Se after structural relaxation.

```
AgW2Se
1.0
-1.933 1.933 4.645
1.933 -1.933 4.645
1.933 1.933 -4.645
Ag W Se
1 2 1
direct
0.000 0.000 0.000
0.250 0.750 0.500
0.750 0.250 0.500
0.500 0.500 0.000
```

Calculated values
The uncorrected formation energy comes out at 3.91 eV per formula unit. The calculation puts the magnetization at 0.0000 μB per atom.

The following is a DFT calculation (PBE) of AgW4Se after structural relaxation.

```
AgW4Se
1.0
0.000 3.789 3.789
3.789 0.000 3.789
3.789 3.789 0.000
Ag W Se
1 4 1
direct
0.000 0.000 0.000
0.121 0.626 0.626
0.626 0.121 0.626
0.626 0.626 0.121
0.626 0.626 0.626
0.250 0.250 0.250
```

Calculated values
The uncorrected formation energy comes out at 5.64 eV per formula unit. The calculation puts the magnetization at 0.0000 μB per atom.

The following is a DFT calculation (PBE) of Ag2WSe after structural relaxation.

```
Ag2WSe
1.0
5.205 0.000 0.000
0.000 5.205 0.000
0.000 0.000 2.729
Ag W Se
2 1 1
direct
0.000 0.500 0.000
0.500 0.000 0.000
0.000 0.000 0.500
0.500 0.500 0.500
```

Calculated values
The uncorrected formation energy comes out at 3.62 eV per formula unit. The calculation puts the magnetization at 0.0000 μB per atom.